This record from the Alexandria database describes a relaxed CaZr2Sc crystal. The functional is PBE.

Summary:
Energy, eV per atom: -6.163
Size of the total moment, μB per formula unit: 0.0

Cell lengths 3.2699, 3.2699, 33.3525 Å; angles 90.00, 90.00, 120.00 degrees
With the nearest neighbours (Å) after each atom.
Space group R-3m (No. 166, hexagonal axes)
Symmetry-distinct sites (fractional):
Ca: 0.0000 0.0000 0.0000 x3  6 Ca 3.27, 6 Zr 3.53
Zr: 0.0000 0.0000 0.2438 x6  3 Sc 3.19, 6 Zr 3.27, 3 Ca 3.53
Sc: 0.0000 0.0000 0.5000 x3  6 Zr 3.19, 6 Sc 3.27